Density functional theory data (PBE-GGA) for crystalline SbRuSe2 at its relaxed geometry. Values from VASP.

Uncorrected formation energy   2.17 eV per formula unit
DFT total energy   -18.196 eV per cell

Cell and atoms, written as Quantum ESPRESSO input:
```
&SYSTEM
  ibrav = 0, nat = 4, ntyp = 3
/
ATOMIC_SPECIES
Sb 121.76 Sb.upf
Ru 101.07 Ru.upf
Se 78.96 Se.upf
ATOMIC_POSITIONS crystal
Sb 0.000 0.000 0.000
Ru 0.500 0.000 0.500
Se 0.000 0.500 0.500
Se 0.500 0.500 0.000
CELL_PARAMETERS angstrom
3.248 0.000 0.000
0.000 4.800 0.000
0.000 0.000 4.912
```

=====

Density functional theory data (PBE-GGA) for crystalline Sb2RuSe at its relaxed geometry. Values from VASP.

Uncorrected formation energy   0.12 eV per formula unit
DFT total energy   -62.644 eV per cell

Cell and atoms, written as Quantum ESPRESSO input:
```
&SYSTEM
  ibrav = 0, nat = 12, ntyp = 3
/
ATOMIC_SPECIES
Sb 121.76 Sb.upf
Ru 101.07 Ru.upf
Se 78.96 Se.upf
ATOMIC_POSITIONS crystal
Sb 0.000 0.000 0.000
Sb 0.000 0.000 0.242
Sb 0.333 0.667 0.667
Sb 0.333 0.667 0.909
Sb 0.667 0.333 0.333
Sb 0.667 0.333 0.576
Ru 0.000 0.000 0.503
Ru 0.333 0.667 0.170
Ru 0.667 0.333 0.836
Se 0.000 0.000 0.787
Se 0.333 0.667 0.453
Se 0.667 0.333 0.120
CELL_PARAMETERS angstrom
3.480 0.000 0.000
-1.740 3.014 0.000
0.000 0.000 27.087
```

=====

Density functional theory data (PBE-GGA) for crystalline TaSbRuSe2 at its relaxed geometry. Values from VASP.

Uncorrected formation energy   3.01 eV per formula unit
DFT total energy   -29.210 eV per cell

Cell and atoms, written as Quantum ESPRESSO input:
```
&SYSTEM
  ibrav = 0, nat = 5, ntyp = 4
/
ATOMIC_SPECIES
Ta 180.95 Ta.upf
Sb 121.76 Sb.upf
Ru 101.07 Ru.upf
Se 78.96 Se.upf
ATOMIC_POSITIONS crystal
Ta 0.000 0.000 0.000
Sb 0.500 0.500 0.500
Ru 0.000 0.000 0.500
Se 0.000 0.500 0.000
Se 0.500 0.000 0.000
CELL_PARAMETERS angstrom
4.969 0.000 0.000
0.000 4.969 0.000
0.000 0.000 4.853
```

=====

Density functional theory data (PBE-GGA) for crystalline SbTe2RuSe at its relaxed geometry. Values from VASP.

Polymorph energy (0 for the lowest one)   0 meV per atom
Uncorrected formation energy   2.48 eV per formula unit
DFT total energy   -20.688 eV per cell

Cell and atoms, written as Quantum ESPRESSO input:
```
&SYSTEM
  ibrav = 0, nat = 5, ntyp = 4
/
ATOMIC_SPECIES
Sb 121.76 Sb.upf
Te 127.60 Te.upf
Ru 101.07 Ru.upf
Se 78.96 Se.upf
ATOMIC_POSITIONS crystal
Sb 0.000 0.000 0.000
Te 0.000 0.500 0.500
Te 0.500 0.000 0.500
Ru 0.000 0.000 0.500
Se 0.500 0.500 0.000
CELL_PARAMETERS angstrom
5.188 0.000 0.000
0.000 5.188 0.000
0.000 0.000 5.115
```

=====

Q: Which formula does entry 3 have?
A: TaSbRuSe2